! PBE with a Hubbard U Sr2CrBiO, optimized geometry; values from VASP
! electronic total energy: -4.5864 eV per atom
&SYSTEM
  ibrav = 0, nat = 5, ntyp = 4
/
ATOMIC_SPECIES
Sr 87.62 Sr.upf
Bi 208.98 Bi.upf
O 16.00 O.upf
Cr 52.00 Cr.upf
ATOMIC_POSITIONS angstrom
Sr -0.6014 -2.7622 1.3595
Sr -1.2005 -1.0652 -2.6952
Bi -0.0885 -4.4542 -1.8512
O 1.7134 -0.6268 -0.5155
Cr 0.0000 0.0000 0.0000
CELL_PARAMETERS angstrom
-2.4010 -2.1304 -5.3905
3.4268 -1.2536 -1.0309
-1.2029 -5.5245 2.7191